Crystalline ZrAgPd2 at its relaxed geometry, computed with PBE.

Calculated values
- ΔH_f (0 K) (eV per atom) = -0.111
- ΔE to the lowest computed polymorph (eV/atom) = 0.424
- uncorrected energy (eV per atom) = -5.5573

Lattice parameters (Å, degrees): 7.292 7.292 5.742 90.00 90.00 90.00
Space group I-42d (No. 122)
Unique sites:
Zr 0.000 0.000 0.000 [4 per cell]
Ag 0.000 0.000 0.500 [4 per cell]
Pd 0.241 0.250 0.125 [8 per cell]

Crystalline Zr2AgPd6 at its relaxed geometry, computed with PBE.

Calculated values
- ΔH_f (0 K) (eV per atom) = -0.333
- uncorrected energy (eV per atom) = -6.0114

Lattice parameters (Å, degrees): 14.310 7.820 2.892 90.00 101.30 90.00
Space group C2/m (No. 12)
Unique sites:
Zr 0.163 0.000 0.164 [4 per cell]
Ag 0.000 0.500 0.500 [2 per cell]
Pd 0.000 0.187 0.000 [4 per cell]
Pd 0.168 0.312 0.669 [8 per cell]

- What is the formula in the first record?
  ZrAgPd2

Copy entry 2 word for word.
Crystalline Zr2AgPd6 at its relaxed geometry, computed with PBE.

Calculated values
- ΔH_f (0 K) (eV per atom) = -0.333
- uncorrected energy (eV per atom) = -6.0114

Lattice parameters (Å, degrees): 14.310 7.820 2.892 90.00 101.30 90.00
Space group C2/m (No. 12)
Unique sites:
Zr 0.163 0.000 0.164 [4 per cell]
Ag 0.000 0.500 0.500 [2 per cell]
Pd 0.000 0.187 0.000 [4 per cell]
Pd 0.168 0.312 0.669 [8 per cell]

- Which value of uncorrected energy does entry 1 give?
  -5.5573 eV per atom